This record from the Alexandria database describes Ba2SbPPd6 after structural relaxation. The functional is PBE.

Cell lengths 6.5938, 7.1344, 6.5961 Å; angles 62.46, 60.02, 90.01 degrees
With the nearest neighbours (Å) after each atom.
Fractional coordinates of all 10 atoms:
1 Ba 0.7196 0.1596 0.5606  12 Pd 3.43-3.71
2 Ba 0.2804 0.8404 0.4394  12 Pd 3.43-3.71
3 Sb 0.0000 0.0000 0.0000  6 Pd 2.65-2.66
4 P 0.5000 0.5000 0.0000  6 Pd 2.34
5 Pd 0.2601 0.3426 0.4795  1 P 2.34
6 Pd 0.7406 0.6578 0.0814  1 P 2.34
7 Pd 0.1782 0.6580 0.0813  1 P 2.34
8 Pd 0.8218 0.3420 0.9187  1 P 2.34
9 Pd 0.2594 0.3422 0.9186  1 P 2.34
10 Pd 0.7399 0.6574 0.5205  1 P 2.34

## Properties
DFT total energy (eV/atom): -5.15
Spin magnetization (μB/f.u.): 0.0
Space group: R-3m

=====

This record from the Alexandria database describes Ba2Sb3PPd4 after structural relaxation. The functional is PBE.

Cell lengths 4.7322, 4.7322, 10.6171 Å; angles 90.00, 90.00, 90.00 degrees
With the nearest neighbours (Å) after each atom.
Fractional coordinates of all 10 atoms:
1 Ba 0.5000 0.0000 0.2566  6 Sb 3.50-3.61, 2 P 3.50, 9 Pd 3.61-3.75
2 Ba 0.0000 0.5000 0.7434  6 Sb 3.50-3.61, 2 P 3.50, 9 Pd 3.61-3.75
3 Sb 0.0000 0.0000 0.5000  4 Pd 2.64
4 Sb 0.5000 0.0000 0.8710  5 Pd 2.73-2.77
5 Sb 0.0000 0.5000 0.1290  5 Pd 2.73-2.77
6 P 0.5000 0.5000 0.5000  4 Pd 2.64
7 Pd 0.5000 0.5000 0.0000  4 Sb 2.73
8 Pd 0.0000 0.0000 0.0000  4 Sb 2.73
9 Pd 0.5000 0.0000 0.6099  3 Sb 2.64-2.77, 2 P 2.64
10 Pd 0.0000 0.5000 0.3901  3 Sb 2.64-2.77, 2 P 2.64

## Properties
DFT total energy (eV/atom): -4.99
Spin magnetization (μB/f.u.): 0.0
Space group: P-4m2

=====

This record from the Alexandria database describes BaP2PdSe8 after structural relaxation. The functional is PBE.

Cell lengths 6.2111, 6.2111, 9.2444 Å; angles 90.00, 90.00, 120.00 degrees
With the nearest neighbours (Å) after each atom.
Fractional coordinates of all 12 atoms:
1 Ba 0.0000 0.0000 0.0000  12 Se 3.60-3.62
2 P 0.6667 0.3333 0.2658  4 Se 2.19-2.28
3 P 0.3333 0.6667 0.7342  4 Se 2.19-2.28
4 Pd 0.0000 0.0000 0.5000  6 Se 2.56
5 Se 0.3333 0.6667 0.9708  1 P 2.19
6 Se 0.3099 0.3315 0.3262  1 P 2.28
7 Se 0.6685 0.9783 0.3262  1 P 2.28
8 Se 0.6667 0.3333 0.0292  1 P 2.19
9 Se 0.3315 0.0217 0.6738  1 P 2.28
10 Se 0.6901 0.6685 0.6738  1 P 2.28
11 Se 0.9783 0.3099 0.6738  1 P 2.28
12 Se 0.0217 0.6901 0.3262  1 P 2.28

## Properties
DFT total energy (eV/atom): -4.22
Spin magnetization (μB/f.u.): 0.0
Space group: P-3

=====

This record from the Alexandria database describes BaSiP6Pd2 after structural relaxation. The functional is PBE.

Cell lengths 6.0549, 6.0549, 8.5947 Å; angles 69.38, 69.38, 60.00 degrees
With the nearest neighbours (Å) after each atom.
Fractional coordinates of all 10 atoms:
1 Ba 0.0000 0.0000 0.0000  12 P 3.66, 6 Pd 3.74
2 Si 0.5000 0.5000 0.5000  6 P 2.32
3 P 0.1678 0.5442 0.7433  2 P 2.28, 1 Pd 2.28, 1 Si 2.32
4 P 0.5447 0.1678 0.7433  2 P 2.28, 1 Pd 2.28, 1 Si 2.32
5 P 0.4558 0.4553 0.2567  2 P 2.28, 1 Pd 2.28, 1 Si 2.32
6 P 0.8322 0.4558 0.2567  2 P 2.28, 1 Pd 2.28, 1 Si 2.32
7 P 0.4553 0.8322 0.2567  2 P 2.28, 1 Pd 2.28, 1 Si 2.32
8 P 0.5442 0.5447 0.7433  2 P 2.28, 1 Pd 2.28, 1 Si 2.32
9 Pd 0.7233 0.7233 0.8302  3 P 2.28
10 Pd 0.2767 0.2767 0.1698  3 P 2.28

## Properties
DFT total energy (eV/atom): -5.17
Spin magnetization (μB/f.u.): 0.0
Space group: R-3m

=====

This record from the Alexandria database describes BaSmP2Pd2 after structural relaxation. The functional is PBE.

Cell lengths 4.2261, 4.2261, 8.6247 Å; angles 90.00, 90.00, 120.00 degrees
With the nearest neighbours (Å) after each atom.
Fractional coordinates of all 6 atoms:
1 Ba 0.0000 0.0000 0.0000  6 Pd 3.40, 6 P 3.44
2 Sm 0.0000 0.0000 0.5000  6 P 3.08, 6 Pd 3.12
3 P 0.6667 0.3333 0.7183  3 Pd 2.44
4 P 0.3333 0.6667 0.2817  3 Pd 2.44
5 Pd 0.6667 0.3333 0.2744  3 P 2.44
6 Pd 0.3333 0.6667 0.7256  3 P 2.44

## Properties
DFT total energy (eV/atom): -5.76
ΔE_f (kJ/mol of formula units): -646
Spin magnetization (μB/f.u.): 0.0
Space group: P-3m1

=====

This record from the Alexandria database describes Ba3SnP2Pd9 after structural relaxation. The functional is PBE.

Cell lengths 6.5265, 6.5265, 9.2016 Å; angles 90.00, 90.00, 120.00 degrees
With the nearest neighbours (Å) after each atom.
Fractional coordinates of all 15 atoms:
1 Ba 0.3333 0.6667 0.6416  6 Pd 3.35
2 Ba 0.0000 0.0000 0.0000  12 Pd 3.08-3.26
3 Ba 0.6667 0.3333 0.3584  6 Pd 3.35
4 Sn 0.0000 0.0000 0.5000  6 Pd 2.67
5 P 0.3333 0.6667 0.1626  6 Pd 2.31-2.41
6 P 0.6667 0.3333 0.8374  6 Pd 2.31-2.41
7 Pd 0.8484 0.1516 0.7222  1 P 2.31
8 Pd 0.8484 0.6968 0.7222  1 P 2.31
9 Pd 0.3032 0.1516 0.7222  1 P 2.31
10 Pd 0.6968 0.8484 0.2778  1 P 2.31
11 Pd 0.1516 0.3032 0.2778  1 P 2.31
12 Pd 0.1516 0.8484 0.2778  1 P 2.31
13 Pd 0.5000 0.0000 0.0000  2 P 2.41
14 Pd 0.0000 0.5000 0.0000  2 P 2.41
15 Pd 0.5000 0.5000 0.0000  2 P 2.41

## Properties
DFT total energy (eV/atom): -5.10
ΔE_f (kJ/mol of formula units): -882
Spin magnetization (μB/f.u.): 0.0
Space group: P-3m1

=====

This record from the Alexandria database describes Ba2SnPPd6 after structural relaxation. The functional is PBE.

Cell lengths 6.5907, 7.1421, 6.5883 Å; angles 62.60, 59.99, 90.01 degrees
With the nearest neighbours (Å) after each atom.
Fractional coordinates of all 10 atoms:
1 Ba 0.7187 0.1560 0.5626  12 Pd 3.42-3.74
2 Ba 0.2813 0.8440 0.4374  12 Pd 3.42-3.74
3 Sn 0.0000 0.0000 0.0000  6 Pd 2.67
4 P 0.5000 0.5000 0.0000  6 Pd 2.35
5 Pd 0.2591 0.3470 0.4810  1 P 2.35
6 Pd 0.7401 0.6525 0.0884  1 P 2.35
7 Pd 0.1715 0.6526 0.0876  1 P 2.35
8 Pd 0.8284 0.3474 0.9124  1 P 2.35
9 Pd 0.2599 0.3475 0.9116  1 P 2.35
10 Pd 0.7409 0.6530 0.5190  1 P 2.35

## Properties
DFT total energy (eV/atom): -5.12
ΔE_f (kJ/mol of formula units): -656
Spin magnetization (μB/f.u.): 0.0
Space group: C2/m

=====

This record from the Alexandria database describes Ba2SrP3Pd12 after structural relaxation. The functional is PBE.

Cell lengths 7.5002, 7.5002, 7.5002 Å; angles 73.01, 73.01, 73.01 degrees
With the nearest neighbours (Å) after each atom.
Fractional coordinates of all 18 atoms:
1 Ba 0.6040 0.6040 0.6040  3 Pd 2.86
2 Ba 0.3960 0.3960 0.3960  3 Pd 2.86
3 Sr 0.0000 0.0000 0.0000  6 Pd 2.77
4 P 0.5000 0.0000 0.0000  6 Pd 2.25-2.36
5 P 0.0000 0.5000 0.0000  6 Pd 2.25-2.36
6 P 0.0000 0.0000 0.5000  6 Pd 2.25-2.36
7 Pd 0.2979 0.2979 0.8986  2 P 2.36
8 Pd 0.8532 0.8532 0.3819  1 P 2.25
9 Pd 0.3819 0.8532 0.8532  1 P 2.25
10 Pd 0.8986 0.2979 0.2979  2 P 2.36
11 Pd 0.8532 0.3819 0.8532  1 P 2.25
12 Pd 0.2979 0.8986 0.2979  2 P 2.36
13 Pd 0.7021 0.7021 0.1014  2 P 2.36
14 Pd 0.1468 0.1468 0.6181  1 P 2.25
15 Pd 0.6181 0.1468 0.1468  1 P 2.25
16 Pd 0.1014 0.7021 0.7021  2 P 2.36
17 Pd 0.1468 0.6181 0.1468  1 P 2.25
18 Pd 0.7021 0.1014 0.7021  2 P 2.36

## Properties
DFT total energy (eV/atom): -5.01
ΔE_f (kJ/mol of formula units): -590
Spin magnetization (μB/f.u.): 0.0
Space group: R-3m

=====

This record from the Alexandria database describes BaTbP2Pd4 after structural relaxation. The functional is PBE.

Cell lengths 4.1492, 4.1492, 10.1466 Å; angles 90.00, 90.00, 90.00 degrees
With the nearest neighbours (Å) after each atom.
Fractional coordinates of all 8 atoms:
1 Ba 0.0000 0.0000 0.5000  8 P 3.48, 8 Pd 3.66
2 Tb 0.0000 0.0000 0.0000  8 Pd 2.93
3 P 0.5000 0.5000 0.3150  4 Pd 2.36
4 P 0.5000 0.5000 0.6850  4 Pd 2.36
5 Pd 0.0000 0.5000 0.2033  2 P 2.36
6 Pd 0.5000 0.0000 0.7967  2 P 2.36
7 Pd 0.5000 0.0000 0.2033  2 P 2.36
8 Pd 0.0000 0.5000 0.7967  2 P 2.36

## Properties
DFT total energy (eV/atom): -5.52
ΔE_f (kJ/mol of formula units): -584
Spin magnetization (μB/f.u.): 0.0
Space group: P4/mmm

=====

This record from the Alexandria database describes BaTcP2Pd after structural relaxation. The functional is PBE.

Cell lengths 4.0412, 4.0412, 6.9883 Å; angles 106.81, 106.81, 90.00 degrees
With the nearest neighbours (Å) after each atom.
Fractional coordinates of all 5 atoms:
1 Ba 0.0000 0.0000 0.0000  8 P 3.44, 4 Pd 3.77, 4 Tc 3.77
2 Tc 0.7500 0.2500 0.5000  4 P 2.39
3 P 0.6499 0.6499 0.2998  2 Pd 2.39, 2 Tc 2.39
4 P 0.3501 0.3501 0.7002  2 Tc 2.39, 2 Pd 2.39
5 Pd 0.2500 0.7500 0.5000  4 P 2.39

## Properties
DFT total energy (eV/atom): -6.49
ΔE_f (kJ/mol of formula units): -399
Spin magnetization (μB/f.u.): 0.0
Space group: I-4m2

=====

This record from the Alexandria database describes BaTcPPd after structural relaxation. The functional is PBE.

Cell lengths 3.9442, 3.9442, 11.6641 Å; angles 90.00, 90.00, 90.00 degrees
With the nearest neighbours (Å) after each atom.
Fractional coordinates of all 8 atoms:
1 Ba 0.7500 0.7500 0.2758  4 Pd 3.28, 4 P 3.35
2 Ba 0.2500 0.2500 0.7242  4 Pd 3.28, 4 P 3.35
3 Tc 0.7500 0.2500 0.0000  4 P 2.40
4 Tc 0.2500 0.7500 0.0000  4 P 2.40
5 P 0.7500 0.7500 0.8826  4 Tc 2.40
6 P 0.2500 0.2500 0.1174  4 Tc 2.40
7 Pd 0.2500 0.7500 0.5000  4 Pd 2.79
8 Pd 0.7500 0.2500 0.5000  4 Pd 2.79

## Properties
DFT total energy (eV/atom): -6.29
ΔE_f (kJ/mol of formula units): -220
Spin magnetization (μB/f.u.): 0.0
Space group: P4/nmm

=====

This record from the Alexandria database describes BaTiP2Pd after structural relaxation. The functional is PBE.

Cell lengths 4.9475, 4.8304, 4.9475 Å; angles 90.00, 90.00, 90.00 degrees
With the nearest neighbours (Å) after each atom.
Fractional coordinates of all 5 atoms:
1 P 0.0000 0.0000 0.5000  2 Pd 2.47
2 P 0.5000 0.0000 0.0000  2 Pd 2.47
3 Ba 0.5000 0.5000 0.5000  8 P 3.46, 4 Ti 3.50
4 Pd 0.0000 0.0000 0.0000  2 Ti 2.42, 4 P 2.47
5 Ti 0.0000 0.5000 0.0000  2 Pd 2.42

## Properties
DFT total energy (eV/atom): -4.99
ΔE_f (kJ/mol of formula units): 85
Spin magnetization (μB/f.u.): 0.5
Space group: P4/mmm